## In2SbO6 (GGA-PBE)

Data for a relaxed structure of In2SbO6.

Cell: 5.0954 5.5703 9.0201 Å, 90.00 90.00 90.00°
Last column: nearest neighbours and their distance in Å.
Fractional coordinates of all 18 atoms:
1 In 0.0000 0.0000 0.1905  6 O 2.14-2.24
2 In 0.0000 0.0000 0.8095  6 O 2.14-2.24
3 In 0.5000 0.5000 0.3095  6 O 2.14-2.24
4 In 0.5000 0.5000 0.6905  6 O 2.14-2.24
5 Sb 0.0000 0.5000 0.0000  6 O 1.99-2.02
6 Sb 0.5000 0.0000 0.5000  6 O 1.99-2.02
7 O 0.1910 0.1877 0.0000  1 Sb 1.99
8 O 0.2187 0.6537 0.1606  1 Sb 2.02, 2 In 2.14-2.24
9 O 0.2187 0.6537 0.8394  1 Sb 2.02, 2 In 2.14-2.24
10 O 0.2813 0.1537 0.3394  1 Sb 2.02, 2 In 2.14-2.24
11 O 0.2813 0.1537 0.6606  1 Sb 2.02, 2 In 2.14-2.24
12 O 0.3090 0.6877 0.5000  1 Sb 1.99
13 O 0.6910 0.3123 0.5000  1 Sb 1.99
14 O 0.7187 0.8463 0.3394  1 Sb 2.02, 2 In 2.14-2.24
15 O 0.7187 0.8463 0.6606  1 Sb 2.02, 2 In 2.14-2.24
16 O 0.7813 0.3463 0.1606  1 Sb 2.02, 2 In 2.14-2.24
17 O 0.7813 0.3463 0.8394  1 Sb 2.02, 2 In 2.14-2.24
18 O 0.8090 0.8123 0.0000  1 Sb 1.99

Output
- Fermi-level density of states: 11.60 states/eV/cell
- Formation energy without anion corrections: -1301 meV per atom
- Distance to the lowest polymorph of the same formula: 0.225 eV/f.u.

## CaLa2Se2I2 (GGA-PBE)

Data for a relaxed structure of CaLa2Se2I2.

Cell: 9.1152 9.1152 9.1152 Å, 144.91 144.91 50.47°
Last column: nearest neighbours and their distance in Å.
Fractional coordinates of all 7 atoms:
1 Ca 0.0000 0.0000 0.0000  4 Se 2.75
2 La 0.4012 0.4012 0.0000  4 Se 3.19, 1 La 3.26, 1 I 3.45
3 La 0.5988 0.5988 0.0000  4 Se 3.19, 1 La 3.26, 1 I 3.45
4 Se 0.0000 0.5000 0.5000  2 Ca 2.75
5 Se 0.5000 0.0000 0.5000  2 Ca 2.75
6 I 0.1917 0.1917 0.0000  1 Ca 3.16, 1 La 3.45
7 I 0.8083 0.8083 0.0000  1 Ca 3.16, 1 La 3.45

Output
- Fermi-level density of states: 2.64 states/eV/cell
- Formation energy without anion corrections: -1441 meV per atom

## TeAs2N (GGA-PBE)

Data for a relaxed structure of TeAs2N.

Cell: 4.6660 4.6660 4.6660 Å, 60.00 60.00 60.00°
Last column: nearest neighbours and their distance in Å.
Fractional coordinates of all 4 atoms:
1 Te 0.0000 0.0000 0.0000  8 As 2.86
2 As 0.2500 0.2500 0.2500  4 Te 2.86, 4 N 2.86
3 As 0.7500 0.7500 0.7500  4 Te 2.86, 4 N 2.86
4 N 0.5000 0.5000 0.5000  8 As 2.86

Output
- Fermi-level density of states: 2.46 states/eV/cell
- Formation energy without anion corrections: 1373 meV per atom
- Distance to the lowest polymorph of the same formula: 2.761 eV/f.u.

> Among the records above, which one has the lowest Fermi-level density of states?

TeAs2N

> Number 3 is which compound?

TeAs2N

> Among the records above, which one has the lowest formation energy without anion corrections?

CaLa2Se2I2

> The lowest formation energy without anion corrections belongs to which entry?

CaLa2Se2I2